A geometry-optimized SiNi4B structure, computed with PBE-GGA.

Cell lengths 2.8370, 6.0413, 14.0222 Å; angles 90.00, 90.00, 90.00 degrees
Atoms (fractional coordinates):
Ni 0.2500 0.4963 0.4322
Ni 0.2500 0.6430 0.9568
Ni 0.7500 0.0037 0.9322
Ni 0.2500 0.5538 0.7120
Ni 0.7500 0.9462 0.2120
Ni 0.7500 0.3747 0.8514
Ni 0.7500 0.4462 0.2880
Ni 0.7500 0.3570 0.0432
Ni 0.2500 0.6253 0.1486
Ni 0.2500 0.1253 0.3514
Ni 0.7500 0.8570 0.4568
Ni 0.2500 0.0538 0.7880
Ni 0.7500 0.8747 0.6486
Ni 0.2500 0.1430 0.5432
Ni 0.2500 0.9963 0.0678
Ni 0.7500 0.5037 0.5678
Si 0.7500 0.7449 0.8159
Si 0.2500 0.7551 0.3159
Si 0.2500 0.2551 0.1841
Si 0.7500 0.2449 0.6841
B 0.2500 0.2475 0.9435
B 0.7500 0.7525 0.0565
B 0.2500 0.7475 0.5565
B 0.7500 0.2525 0.4435

Output
Volume = 10.014 Å³/atom
Calculated total energy = -150.675 eV for the cell shown
Symmetry = Pnma (62)
Formation energy (no corrections) = -236 kJ/mol of formula units